A plane-wave DFT calculation with GGA+U was carried out for a geometry-optimized Zn2MoWO structure.

Calculated values
The total energy comes out at -2.3589 eV per atom. The symmetry is P4/mmm (123). The magnetic moment is 2.67 Bohr magnetons per cell.

The structure in POSCAR format:
```
Zn2MoWO
1.0
-4.906 -0.232 0.699
-0.492 -2.472 -4.274
0.521 -4.086 2.303
W Zn O Mo
1 2 1 1
direct
0.000 0.000 0.000
0.000 0.500 0.000
0.500 0.000 0.000
0.500 0.500 0.500
0.000 0.000 0.500
```